Entry 1:
## Hf5Sn3N (PBE)

Data for crystalline Hf5Sn3N at its relaxed geometry.

abc: 8.3903 8.3903 5.7214
angles: 90.00 90.00 120.00
Space group P6_3/mcm (No. 193)
Inequivalent atoms, fractional coordinates:
Hf 0.0000 0.2208 0.2500 (multiplicity 6)
Hf 0.3333 0.6667 0.0000 (multiplicity 4)
Sn 0.0000 0.4045 0.7500 (multiplicity 6)
N 0.0000 0.0000 0.0000 (multiplicity 2)

## Properties
- ρ: 12.02 g/cm3
- Magnetization: 0.0 Bohr magnetons per cell
- ΔE_f (raw): -0.708 eV per atom



Entry 2:
## Hf5Sn2N (PBE)

Data for crystalline Hf5Sn2N at its relaxed geometry.

abc: 4.252 15.758 11.270
angles: 90.00 90.00 90.00
Space group Cmcm (No. 63)
Inequivalent atoms, fractional coordinates:
Hf 0.000 0.118 0.116 (multiplicity 8)
Hf 0.000 0.269 0.750 (multiplicity 4)
Hf 0.000 0.302 0.065 (multiplicity 8)
Sn 0.000 0.072 0.630 (multiplicity 8)
N 0.000 0.226 0.250 (multiplicity 4)

## Properties
- ρ: 10.06 g/cm3
- Magnetization: 0.0 Bohr magnetons per cell
- ΔE_f (raw): -0.157 eV per atom



Entry 3:
## Hf2SnN (PBE)

Data for crystalline Hf2SnN at its relaxed geometry.

abc: 6.636 6.636 7.052
angles: 90.00 90.00 90.00
Space group I-42d (No. 122)
Inequivalent atoms, fractional coordinates:
Hf 0.139 0.250 0.125 (multiplicity 8)
Sn 0.000 0.000 0.500 (multiplicity 4)
N 0.000 0.000 0.000 (multiplicity 4)

## Properties
- ρ: 10.48 g/cm3
- Magnetization: 0.0 Bohr magnetons per cell
- ΔE_f (raw): -0.726 eV per atom



Entry 4:
## HfSnTeN2 (PBE)

Data for crystalline HfSnTeN2 at its relaxed geometry.

abc: 4.145 4.145 5.655
angles: 90.00 90.00 90.00
Space group P4/mmm (No. 123)
Inequivalent atoms, fractional coordinates:
Hf 0.000 0.000 0.000 (multiplicity 1)
Sn 0.500 0.500 0.500 (multiplicity 1)
Te 0.500 0.500 0.000 (multiplicity 1)
N 0.000 0.500 0.500 (multiplicity 2)

## Properties
- E above lowest polymorph: 956 meV/atom
- ρ: 7.74 g/cm3
- Magnetization: 0.0 Bohr magnetons per cell
- ΔE_f (raw): 1.180 eV per atom



Entry 5:
## HfSnTeN2 (PBE)

Data for crystalline HfSnTeN2 at its relaxed geometry.

abc: 4.243 4.243 5.885
angles: 90.00 90.00 90.00
Space group P4/mmm (No. 123)
Inequivalent atoms, fractional coordinates:
Hf 0.000 0.000 0.000 (multiplicity 1)
Sn 0.500 0.500 0.500 (multiplicity 1)
Te 0.000 0.000 0.500 (multiplicity 1)
N 0.000 0.500 0.000 (multiplicity 2)

## Properties
- E above lowest polymorph: 0 meV/atom
- ρ: 7.10 g/cm3
- Magnetization: 0.7 Bohr magnetons per cell
- ΔE_f (raw): 0.224 eV per atom



Entry 6:
## HfTi2SnN (PBE)

Data for crystalline HfTi2SnN at its relaxed geometry.

abc: 4.155 4.155 4.608
angles: 90.00 90.00 90.00
Space group P4/mmm (No. 123)
Inequivalent atoms, fractional coordinates:
Hf 0.000 0.000 0.000 (multiplicity 1)
Ti 0.000 0.500 0.500 (multiplicity 2)
Sn 0.500 0.500 0.000 (multiplicity 1)
N 0.000 0.000 0.500 (multiplicity 1)

## Properties
- ρ: 8.49 g/cm3
- Magnetization: 0.0 Bohr magnetons per cell
- ΔE_f (raw): -0.854 eV per atom



Entry 7:
## Hf2TiSnN (PBE)

Data for crystalline Hf2TiSnN at its relaxed geometry.

abc: 4.564 4.564 4.054
angles: 90.00 90.00 90.00
Space group P4/mmm (No. 123)
Inequivalent atoms, fractional coordinates:
Hf 0.000 0.500 0.000 (multiplicity 2)
Ti 0.000 0.000 0.500 (multiplicity 1)
Sn 0.500 0.500 0.500 (multiplicity 1)
N 0.000 0.000 0.000 (multiplicity 1)

## Properties
- ρ: 10.57 g/cm3
- Magnetization: 0.0 Bohr magnetons per cell
- ΔE_f (raw): -0.802 eV per atom



Entry 8:
## Y2Hf2Sn2N (PBE)

Data for crystalline Y2Hf2Sn2N at its relaxed geometry.

abc: 4.404 4.404 16.083
angles: 90.00 90.00 90.00
Space group I4/mmm (No. 139)
Inequivalent atoms, fractional coordinates:
Y 0.000 0.000 0.165 (multiplicity 4)
Hf 0.000 0.500 0.000 (multiplicity 4)
Sn 0.000 0.000 0.364 (multiplicity 4)
N 0.000 0.000 0.000 (multiplicity 2)

## Properties
- ρ: 8.37 g/cm3
- Magnetization: 0.0 Bohr magnetons per cell
- ΔE_f (raw): -0.963 eV per atom